[1]
Here is a geometry-optimized Ba2H6Ru structure from the Alexandria database. Energies are from PBEsol.

## Properties
magnetization	0.002	μB per formula unit
N(E_F)	0.0	states/eV/cell
volume	124	Å³/cell
space-group type	Fm-3m (225)
raw total energy	-39.264	eV per cell

Lattice parameters (Å, degrees): 5.5951 5.5951 5.5951 60.00 60.00 60.00
Atoms (fractional coordinates):
Ba: 0.2500 0.2500 0.2500
Ba: 0.7500 0.7500 0.7500
H: 0.2178 0.2178 0.7822
H: 0.2178 0.7822 0.2178
H: 0.2178 0.7822 0.7822
H: 0.7822 0.2178 0.2178
H: 0.7822 0.2178 0.7822
H: 0.7822 0.7822 0.2178
Ru: 0.0000 0.0000 0.0000

=====

[2]
Here is a geometry-optimized SiWSe2N structure from the Alexandria database. Energies are from PBEsol.

## Properties
uncorrected formation energy	163	kJ/mol of formula units
magnetization	0.000	μB per formula unit
N(E_F)	1.9	states/eV/cell
volume	94	Å³/cell
space-group type	P4/mmm (123)

Lattice parameters (Å, degrees): 5.0015 5.0015 3.7666 90.00 90.00 90.00
Atoms (fractional coordinates):
Si: 0.0000 0.0000 0.0000
W: 0.5000 0.5000 0.5000
Se: 0.0000 0.5000 0.5000
Se: 0.5000 0.0000 0.5000
N: 0.5000 0.5000 0.0000

=====

[3]
Here is a geometry-optimized Na2YAgRh structure from the Alexandria database. Energies are from PBEsol.

## Properties
energy relative to the elements	983	meV per atom
magnetization	0.000	μB per formula unit
N(E_F)	3.1	states/eV/cell
volume	170	Å³/cell
space-group type	P4/mmm (123)

Lattice parameters (Å, degrees): 6.0363 6.0363 4.6710 90.00 90.00 90.00
Atoms (fractional coordinates):
Na: 0.0000 0.5000 0.0000
Na: 0.5000 0.0000 0.0000
Y: 0.0000 0.0000 0.0000
Ag: 0.5000 0.5000 0.5000
Rh: 0.0000 0.0000 0.5000

=====

[4]
Here is a geometry-optimized ScTlPt structure from the Alexandria database. Energies are from PBEsol.

## Properties
energy relative to the elements	-595	meV per atom
magnetization	0.002	μB per formula unit
N(E_F)	4.3	states/eV/cell
volume	66	Å³/cell
space-group type	F-43m (216)

Lattice parameters (Å, degrees): 4.5343 4.5343 4.5343 60.00 60.00 60.00
Atoms (fractional coordinates):
Sc: 0.0000 0.0000 0.0000
Tl: 0.5000 0.5000 0.5000
Pt: 0.7500 0.7500 0.7500

=====

[5]
Here is a geometry-optimized MnReSb2 structure from the Alexandria database. Energies are from PBEsol.

## Properties
uncorrected formation energy	158	kJ/mol of formula units
magnetization	2.467	μB per formula unit
N(E_F)	3.1	states/eV/cell
volume	81	Å³/cell
space-group type	R3m (160)

Lattice parameters (Å, degrees): 10.1186 10.1186 10.1186 17.38 17.38 17.38
Atoms (fractional coordinates):
Mn: 0.0000 0.0000 0.0000
Re: 0.2731 0.2731 0.2731
Sb: 0.5327 0.5327 0.5327
Sb: 0.7387 0.7387 0.7387

=====

[6]
Here is a geometry-optimized YCo3Si structure from the Alexandria database. Energies are from PBEsol.

## Properties
uncorrected formation energy	-33	kJ/mol of formula units
magnetization	0.000	μB per formula unit
N(E_F)	1.9	states/eV/cell
volume	73	Å³/cell
space-group type	Pm-3m (221)

Lattice parameters (Å, degrees): 4.1838 4.1838 4.1838 90.00 90.00 90.00
Atoms (fractional coordinates):
Y: 0.0000 0.0000 0.0000
Co: 0.0000 0.5000 0.5000
Co: 0.5000 0.0000 0.5000
Co: 0.5000 0.5000 0.0000
Si: 0.5000 0.5000 0.5000

=====

[7]
Here is a geometry-optimized ScTi3Au structure from the Alexandria database. Energies are from PBEsol.

## Properties
energy relative to the elements	1105	meV per atom
magnetization	1.361	μB per formula unit
N(E_F)	8.6	states/eV/cell
volume	92	Å³/cell
space-group type	Pm-3m (221)

Lattice parameters (Å, degrees): 4.5088 4.5088 4.5088 90.00 90.00 90.00
Atoms (fractional coordinates):
Sc: 0.0000 0.0000 0.0000
Ti: 0.0000 0.0000 0.5000
Ti: 0.0000 0.5000 0.0000
Ti: 0.5000 0.0000 0.0000
Au: 0.5000 0.5000 0.5000

=====

[8]
Here is a geometry-optimized CaYZn4 structure from the Alexandria database. Energies are from PBEsol.

## Properties
energy relative to the elements	-307	meV per atom
magnetization	0.000	μB per formula unit
N(E_F)	3.1	states/eV/cell
volume	111	Å³/cell
space-group type	F-43m (216)

Lattice parameters (Å, degrees): 5.3967 5.3967 5.3967 60.00 60.00 60.00
Atoms (fractional coordinates):
Ca: 0.0000 0.0000 0.0000
Y: 0.2500 0.2500 0.2500
Zn: 0.1274 0.6242 0.6242
Zn: 0.6242 0.1274 0.6242
Zn: 0.6242 0.6242 0.1274
Zn: 0.6242 0.6242 0.6242